[1]
Here is Ba3Y2I12 at its PBEsol-relaxed geometry from Alexandria. Energies are from meta-GGA SCAN.

Geometry as POSCAR:
```
Ba3Y2I12
1.0
7.8688 0.0000 0.0000
0.0000 12.8741 0.0000
0.0000 0.0000 12.8741
I Ba Y
24 6 4
Direct
0.2682 0.2891 0.5586
0.7569 0.0000 0.5000
0.7318 0.7109 0.4414
0.7318 0.0586 0.7891
0.2431 0.0000 0.5000
0.7318 0.2891 0.5586
0.2682 0.7109 0.4414
0.2682 0.4414 0.2891
0.7569 0.5000 0.0000
0.0000 0.8075 0.6925
0.7318 0.5586 0.7109
0.0000 0.1925 0.3075
0.2682 0.5586 0.7109
0.2682 0.9414 0.2109
0.2682 0.0586 0.7891
0.2682 0.2109 0.0586
0.0000 0.3075 0.8075
0.7318 0.2109 0.0586
0.7318 0.9414 0.2109
0.7318 0.7891 0.9414
0.0000 0.6925 0.1925
0.2431 0.5000 0.0000
0.2682 0.7891 0.9414
0.7318 0.4414 0.2891
0.5000 0.1849 0.3151
0.0000 0.0000 0.0000
0.5000 0.3151 0.8151
0.5000 0.6849 0.1849
0.0000 0.5000 0.5000
0.5000 0.8151 0.6849
0.0000 0.6373 0.8627
0.0000 0.3627 0.1373
0.0000 0.8627 0.3627
0.0000 0.1373 0.6373
```

Formation energy without anion corrections   -1.6999 eV/atom
Symmetry   No. 127

[2]
Here is Ba2ZnI2 at its PBEsol-relaxed geometry from Alexandria. Energies are from meta-GGA SCAN.

Geometry as POSCAR:
```
Ba2ZnI2
1.0
-5.5112 -3.0173 -1.8839
2.1060 -0.8374 6.5997
-3.3217 3.1228 4.7160
Ba I Zn
2 2 1
Direct
0.7500 0.5000 0.7500
0.2500 0.5000 0.2500
0.3256 0.6511 0.6744
0.6744 0.3489 0.3256
0.0000 0.0000 0.0000
```

Formation energy without anion corrections   -0.8536 eV/atom
Symmetry   No. 139

[3]
Here is Ba2In at its PBEsol-relaxed geometry from Alexandria. Energies are from meta-GGA SCAN.

Geometry as POSCAR:
```
Ba2In
1.0
-1.5679 -2.4024 -3.0606
-1.6736 -2.5625 2.8688
-11.5631 11.0903 0.0935
Ba In
4 2
Direct
0.4377 0.4377 0.8754
0.5623 0.5623 0.1246
0.6877 0.1877 0.3754
0.8123 0.3123 0.6246
0.0000 0.0000 0.0000
0.2500 0.7500 0.5000
```

Energy of formation   -0.37 eV per atom
Symmetry   No. 141

[4]
Here is Ba3In2 at its PBEsol-relaxed geometry from Alexandria. Energies are from meta-GGA SCAN.

Geometry as POSCAR:
```
Ba3In2
1.0
-3.1522 -4.4878 -1.9960
1.5281 0.2182 5.6284
-6.1198 3.6219 1.5211
In Ba
2 3
Direct
0.3333 0.6667 0.8589
0.6667 0.3333 0.1411
0.3333 0.6667 0.3424
0.0000 0.0000 0.0000
0.6667 0.3333 0.6576
```

Energy of formation   -0.42 eV per atom
Symmetry   No. 164

[5]
Here is BaIn3 at its PBEsol-relaxed geometry from Alexandria. Energies are from meta-GGA SCAN.

Geometry as POSCAR:
```
BaIn3
1.0
-1.8096 2.3766 -2.2805
-3.3736 -2.1977 0.3867
-2.0898 4.2854 6.1240
In Ba
3 1
Direct
0.5000 0.5000 0.6981
0.5000 0.5000 0.3019
0.0000 0.0000 0.5000
0.0000 0.0000 0.0000
```

Energy of formation   -0.35 eV per atom
Symmetry   No. 47

[6]
Here is Ba2In at its PBEsol-relaxed geometry from Alexandria. Energies are from meta-GGA SCAN.

Geometry as POSCAR:
```
Ba2In
1.0
7.0974 -0.0035 0.0000
-2.7911 6.5255 0.0000
-2.1531 -3.2610 5.9247
In Ba
2 4
Direct
0.2500 0.2500 0.0000
0.7500 0.7500 0.0000
0.1912 0.3088 0.5000
0.6912 0.1912 0.8824
0.8088 0.6912 0.5000
0.3088 0.8088 0.1176
```

Energy of formation   -0.37 eV per atom
Symmetry   No. 140

[7]
Here is Ba2In at its PBEsol-relaxed geometry from Alexandria. Energies are from meta-GGA SCAN.

Geometry as POSCAR:
```
Ba2In
1.0
-4.1493 2.3651 -3.3695
-5.1048 -0.4545 5.9671
2.9604 9.8729 3.2845
Ba In
8 4
Direct
0.2500 0.1830 0.9267
0.2500 0.5223 0.1965
0.7500 0.8170 0.0733
0.7500 0.4777 0.8035
0.7500 0.9777 0.6965
0.2500 0.0223 0.3035
0.7500 0.3170 0.4267
0.2500 0.6830 0.5733
0.7500 0.7727 0.3948
0.2500 0.2273 0.6052
0.7500 0.2727 0.1052
0.2500 0.7273 0.8948
```

Energy of formation   -0.42 eV per atom
Symmetry   No. 62

[8]
Here is Ba2In at its PBEsol-relaxed geometry from Alexandria. Energies are from meta-GGA SCAN.

Geometry as POSCAR:
```
Ba2In
1.0
-0.0841 -3.5857 -1.7478
-0.6988 -2.5764 5.3192
-5.9090 0.4183 -0.5736
Ba In
2 1
Direct
0.5000 0.0000 0.5000
0.5000 0.5000 0.0000
0.0000 0.0000 0.0000
```

Energy of formation   -0.35 eV per atom
Symmetry   No. 123

[9]
Here is Ba2In at its PBEsol-relaxed geometry from Alexandria. Energies are from meta-GGA SCAN.

Geometry as POSCAR:
```
Ba2In
1.0
4.8808 0.0000 0.0000
0.0000 6.9294 0.0351
-2.4404 -1.7317 8.6066
In Ba
2 4
Direct
0.7351 0.3641 0.4701
0.2649 0.6359 0.5299
0.3457 0.1768 0.6913
0.0886 0.2920 0.1772
0.6543 0.8232 0.3087
0.9114 0.7080 0.8228
```

Energy of formation   -0.37 eV per atom
Symmetry   No. 12

[10]
Here is Ba2In at its PBEsol-relaxed geometry from Alexandria. Energies are from meta-GGA SCAN.

Geometry as POSCAR:
```
Ba2In
1.0
3.6102 0.0000 0.0000
0.0000 5.8781 0.0000
0.0000 -2.9390 5.0906
Ba In
2 1
Direct
0.0000 0.6667 0.3333
0.0000 0.3333 0.6667
0.5000 0.0000 0.0000
```

Energy of formation   -0.28 eV per atom
Symmetry   No. 191

[11]
Here is Ba2In3 at its PBEsol-relaxed geometry from Alexandria. Energies are from meta-GGA SCAN.

Geometry as POSCAR:
```
Ba2In3
1.0
-3.9933 -2.9775 0.1278
0.0840 -4.1646 2.7345
-4.3783 2.0363 7.7755
In Ba
3 2
Direct
0.8445 0.8445 0.4664
0.1555 0.1555 0.5336
0.0000 0.0000 0.0000
0.4134 0.4134 0.7598
0.5866 0.5866 0.2402
```

Energy of formation   -0.47 eV per atom
Symmetry   No. 166

[12]
Here is BaIn2Ir at its PBEsol-relaxed geometry from Alexandria. Energies are from meta-GGA SCAN.

Geometry as POSCAR:
```
BaIn2Ir
1.0
-1.4082 0.7143 -4.0964
3.0916 -5.2818 0.3687
-6.8490 -3.8919 1.6758
Ir In Ba
2 4 2
Direct
0.2189 0.4378 0.7500
0.7811 0.5622 0.2500
0.3374 0.6748 0.0548
0.6626 0.3252 0.9452
0.3374 0.6748 0.4452
0.6626 0.3252 0.5548
0.9451 0.8901 0.7500
0.0549 0.1099 0.2500
```

Energy of formation   -0.47 eV per atom
Symmetry   No. 63